# 1
# CoTc5

A relaxed structure of CoTc5 (GGA-PBEsol, Alexandria via LeMat-Bulk).

Cell and atoms, written as POSCAR:
```
CoTc5
1.0
4.255 0.000 0.000
0.000 1.344 6.984
0.000 -1.344 6.984
Co Tc
1 5
direct
0.000 0.000 0.000
0.000 0.341 0.341
0.000 0.666 0.666
0.500 0.111 0.111
0.500 0.450 0.450
0.500 0.779 0.779
```

Values from the calculation:
- polymorph energy (0 for the lowest one) (meV per atom) = 0
- spin magnetization (μB/f.u.) = 0.00
- space group = Amm2, No. 38

=====

# 2
# CoTc3

A relaxed structure of CoTc3 (GGA-PBEsol, Alexandria via LeMat-Bulk).

Cell and atoms, written as POSCAR:
```
CoTc3
1.0
-1.330 4.225 2.308
1.330 -4.225 2.308
1.330 4.225 -2.308
Co Tc
1 3
direct
0.000 0.000 0.000
0.078 0.333 0.745
0.494 0.994 0.500
0.588 0.333 0.255
```

Values from the calculation:
- polymorph energy (0 for the lowest one) (meV per atom) = 52
- spin magnetization (μB/f.u.) = 0.00
- space group = Imm2, No. 44

=====

# 3
# Co7Tc6

A relaxed structure of Co7Tc6 (GGA-PBEsol, Alexandria via LeMat-Bulk).

Cell and atoms, written as POSCAR:
```
Co7Tc6
1.0
2.294 1.324 8.307
-2.294 1.324 8.307
0.000 -2.649 8.307
Co Tc
7 6
direct
0.000 0.000 0.000
0.090 0.090 0.589
0.090 0.589 0.090
0.411 0.910 0.910
0.589 0.090 0.090
0.910 0.411 0.910
0.910 0.910 0.411
0.166 0.166 0.166
0.348 0.348 0.348
0.452 0.452 0.452
0.548 0.548 0.548
0.652 0.652 0.652
0.834 0.834 0.834
```

Values from the calculation:
- energy (eV/atom) = -9.3806
- spin magnetization (μB/f.u.) = 0.02
- space group = R-3m, No. 166

=====

# 4
# Co3Tc

A relaxed structure of Co3Tc (GGA-PBEsol, Alexandria via LeMat-Bulk).

Cell and atoms, written as POSCAR:
```
Co3Tc
1.0
2.527 0.000 0.000
0.000 4.001 0.000
0.000 0.000 4.358
Co Tc
3 1
direct
0.000 0.000 0.000
0.000 0.500 0.324
0.500 0.000 0.483
0.500 0.500 0.821
```

Values from the calculation:
- energy (eV/atom) = -8.5722
- spin magnetization (μB/f.u.) = 2.25
- space group = Pmm2, No. 25

=====

# 5
# CoTc3

A relaxed structure of CoTc3 (GGA-PBEsol, Alexandria via LeMat-Bulk).

Cell and atoms, written as POSCAR:
```
CoTc3
1.0
-1.874 1.874 3.694
1.874 -1.874 3.694
1.874 1.874 -3.694
Co Tc
1 3
direct
0.000 0.000 0.000
0.250 0.750 0.500
0.500 0.500 0.000
0.750 0.250 0.500
```

Values from the calculation:
- polymorph energy (0 for the lowest one) (meV per atom) = 64
- spin magnetization (μB/f.u.) = 0.00
- space group = I4/mmm, No. 139

=====

# 6
# Co8Tc

A relaxed structure of Co8Tc (GGA-PBEsol, Alexandria via LeMat-Bulk).

Cell and atoms, written as POSCAR:
```
Co8Tc
1.0
-3.684 3.684 1.745
3.684 -3.684 1.745
3.684 3.684 -1.745
Co Tc
8 1
direct
0.000 0.336 0.336
0.000 0.664 0.664
0.331 0.331 0.663
0.331 0.669 0.000
0.336 0.000 0.336
0.664 0.000 0.664
0.669 0.331 0.000
0.669 0.669 0.337
0.000 0.000 0.000
```

Values from the calculation:
- energy (eV/atom) = -8.0601
- spin magnetization (μB/f.u.) = 8.25
- space group = I4/mmm, No. 139

=====

> What is the spin magnetization in the first record?

0.00 μB/f.u.

=====

> Which of these has the highest spin magnetization?

Co8Tc

=====

> The highest spin magnetization belongs to which entry?

Co8Tc